(1)
Computed, not measured: crystalline SrOsIO2 at its relaxed geometry at the PBE-GGA level of DFT.

Summary:
ΔE to the lowest computed polymorph in kJ/mol of atoms: 118.36
Total moment in μB per formula unit: 5.2
ΔE_f (raw) in kJ/mol of formula units: 320

Lattice parameters (Å, degrees): 4.443 4.443 6.657 90.00 90.00 90.00
Space group P4/mmm (No. 123)
Unique sites:
Sr 0.000 0.000 0.000 x1
Os 0.500 0.500 0.500 x1
I 0.000 0.000 0.500 x1
O 0.000 0.500 0.000 x2

(2)
Computed, not measured: crystalline PrThCN at its relaxed geometry at the PBE-GGA level of DFT.

Summary:
Total moment in μB per formula unit: 0.0
ΔE_f (raw) in kJ/mol of formula units: -301

Lattice parameters (Å, degrees): 3.7656 3.7656 18.2961 90.00 90.00 120.00
Space group R3m (No. 160, hexagonal axes)
Unique sites:
Pr 0.0000 0.0000 0.0000 x3
Th 0.0000 0.0000 0.5002 x3
C 0.0000 0.0000 0.7500 x3
N 0.0000 0.0000 0.2369 x3

(3)
Computed, not measured: crystalline DyTmSc3 at its relaxed geometry at the PBE-GGA level of DFT.

Summary:
Total moment in μB per formula unit: 0.0
ΔE_f in eV per atom: 0.02

Lattice parameters (Å, degrees): 5.919 6.331 8.681 107.58 90.08 117.84
Space group P-1 (No. 2)
Unique sites:
Dy 0.139 0.106 0.349 x2
Tm 0.467 0.106 0.851 x2
Sc 0.069 0.304 0.049 x2
Sc 0.264 0.696 0.449 x2
Sc 0.327 0.501 0.751 x2

(4)
Computed, not measured: crystalline ZrZn2Pt2 at its relaxed geometry at the PBE-GGA level of DFT.

Summary:
ΔE to the lowest computed polymorph in kJ/mol of atoms: 0.00
Total moment in μB per formula unit: 0.0
ΔE_f in eV per atom: -0.73

Lattice parameters (Å, degrees): 4.862 4.737 7.371 90.00 106.68 90.00
Space group P2_1/m (No. 11)
Unique sites:
Zr 0.078 0.250 0.305 x2
Zn 0.304 0.250 0.711 x2
Zn 0.464 0.250 0.083 x2
Pt 0.126 0.750 0.102 x2
Pt 0.331 0.750 0.518 x2

(5)
Computed, not measured: crystalline La3Pm8Dy2 at its relaxed geometry at the PBE-GGA level of DFT.

Summary:
ΔE to the lowest computed polymorph in kJ/mol of atoms: 0.00
Total moment in μB per formula unit: 0.0
ΔE_f in eV per atom: 0.14

Lattice parameters (Å, degrees): 13.702 12.097 12.163 90.00 116.31 90.00
Space group C2/c (No. 15)
Unique sites:
La 0.000 0.000 0.000 x4
La 0.000 0.119 0.250 x4
La 0.000 0.450 0.750 x4
Pm 0.112 0.187 0.729 x8
Pm 0.200 0.343 0.381 x8
Pm 0.222 0.127 0.041 x8
Pm 0.222 0.447 0.667 x8
Dy 0.042 0.336 0.048 x8

(6)
Computed, not measured: crystalline B5C7 at its relaxed geometry at the PBE-GGA level of DFT.

Summary:
ΔE to the lowest computed polymorph in kJ/mol of atoms: 6.53
Total moment in μB per formula unit: 0.0
ΔE_f in eV per atom: 0.33

Lattice parameters (Å, degrees): 4.728 2.646 6.575 90.00 90.68 90.00
Space group Pm (No. 6)
Unique sites:
B 0.000 0.000 0.000 x1
B 0.002 0.000 0.633 x1
B 0.242 0.500 0.380 x1
B 0.497 0.500 0.701 x1
B 0.772 0.500 0.260 x1
C 0.169 0.500 0.608 x1
C 0.343 0.000 0.034 x1
C 0.343 0.000 0.269 x1
C 0.495 0.500 0.952 x1
C 0.667 0.000 0.372 x1
C 0.675 0.000 0.600 x1
C 0.825 0.500 0.024 x1

(7)
Computed, not measured: crystalline BeCr2Tc at its relaxed geometry at the PBE-GGA level of DFT.

Summary:
Total moment in μB per formula unit: 0.0
ΔE_f in eV per atom: 0.31

Lattice parameters (Å, degrees): 2.6090 2.6090 24.5518 90.00 90.00 120.00
Space group R-3m (No. 166, hexagonal axes)
Unique sites:
Be 0.0000 0.0000 0.0000 x3
Cr 0.0000 0.0000 0.2551 x6
Tc 0.0000 0.0000 0.5000 x3

(8)
Computed, not measured: crystalline CeEr5Tl4 at its relaxed geometry at the PBE-GGA level of DFT.

Summary:
Total moment in μB per formula unit: 1.0
ΔE_f in eV per atom: 0.06

Lattice parameters (Å, degrees): 8.793 9.121 7.980 90.00 90.00 90.00
Space group Pmmn (No. 59, origin choice 2)
Unique sites:
Ce 0.250 0.250 0.115 x2
Er 0.030 0.550 0.242 x8
Er 0.250 0.750 0.581 x2
Tl 0.086 0.750 0.933 x4
Tl 0.250 0.088 0.514 x4

(9)
Computed, not measured: crystalline Pm8MgTl2 at its relaxed geometry at the PBE-GGA level of DFT.

Summary:
ΔE to the lowest computed polymorph in kJ/mol of atoms: 1.23
Total moment in μB per formula unit: 0.0
ΔE_f in eV per atom: -0.11

Lattice parameters (Å, degrees): 18.390 5.361 7.232 90.00 99.08 90.00
Space group C2/m (No. 12)
Unique sites:
Pm 0.032 0.000 0.242 x4
Pm 0.091 0.500 0.948 x4
Pm 0.164 0.500 0.436 x4
Pm 0.179 0.000 0.772 x4
Mg 0.000 0.500 0.500 x2
Tl 0.208 0.000 0.217 x4

(10)
Computed, not measured: crystalline HfCu3S at its relaxed geometry at the PBE-GGA level of DFT.

Summary:
ΔE to the lowest computed polymorph in kJ/mol of atoms: 0.00
Total moment in μB per formula unit: 0.0
ΔE_f (raw) in kJ/mol of formula units: 226

Lattice parameters (Å, degrees): 4.348 4.348 4.348 90.00 90.00 90.00
Space group Pm-3m (No. 221)
Unique sites:
Hf 0.000 0.000 0.000 x1
Cu 0.000 0.500 0.500 x3
S 0.500 0.500 0.500 x1